Record 1
A relaxed Ba3Li2Sn2Bi4 crystal, computed with GGA-PBE.

Lattice parameters (Å, degrees): 4.894 4.894 19.474 90.00 90.00 120.00
Fractional coordinates of all 11 atoms:
1 Ba 0.000 0.000 0.756
2 Ba 0.000 0.000 0.000
3 Ba 0.000 0.000 0.244
4 Li 0.667 0.333 0.875
5 Li 0.333 0.667 0.125
6 Sn 0.667 0.333 0.430
7 Sn 0.333 0.667 0.570
8 Bi 0.667 0.333 0.122
9 Bi 0.333 0.667 0.878
10 Bi 0.667 0.333 0.643
11 Bi 0.333 0.667 0.357

Summary:
Formation energy from the elements = -0.574 eV per atom
Theoretical density = 6.2 g/cm³

=====

Record 2
A relaxed Ba2Li3SnBi4 crystal, computed with GGA-PBE.

Lattice parameters (Å, degrees): 5.178 5.178 11.576 90.00 90.00 90.00
Fractional coordinates of all 10 atoms:
1 Ba 0.500 0.000 0.241
2 Ba 0.000 0.500 0.759
3 Li 0.000 0.000 0.500
4 Li 0.500 0.000 0.881
5 Li 0.000 0.500 0.119
6 Sn 0.500 0.500 0.500
7 Bi 0.500 0.500 0.000
8 Bi 0.000 0.000 0.000
9 Bi 0.500 0.000 0.637
10 Bi 0.000 0.500 0.363

Summary:
Formation energy from the elements = -0.604 eV per atom
Theoretical density = 6.7 g/cm³

=====

Record 3
A relaxed BaLiSnBi2 crystal, computed with GGA-PBE.

Lattice parameters (Å, degrees): 5.244 5.244 7.283 111.10 111.10 90.00
Fractional coordinates of all 5 atoms:
1 Ba 0.000 0.000 0.000
2 Li 0.750 0.250 0.500
3 Sn 0.250 0.750 0.500
4 Bi 0.629 0.629 0.257
5 Bi 0.371 0.371 0.743

Summary:
Formation energy from the elements = -0.459 eV per atom
Theoretical density = 6.6 g/cm³

=====

Record 4
A relaxed Ba2SrLiBi crystal, computed with GGA-PBE.

Lattice parameters (Å, degrees): 7.044 6.105 7.044 90.00 90.00 90.00
Last column: magnetic moment on the atom in μB.
Fractional coordinates of all 5 atoms:
1 Sr 0.000 0.000 0.000  0.18
2 Li 0.500 0.500 0.500  0.00
3 Bi 0.000 0.500 0.000  0.01
4 Ba 0.000 0.000 0.500  0.23
5 Ba 0.500 0.000 0.000  0.12

Summary:
Formation energy from the elements = 0.354 eV per atom
Theoretical density = 3.2 g/cm³

=====

Record 5
A relaxed Ba2Sr2LiBi4 crystal, computed with GGA-PBE.

Lattice parameters (Å, degrees): 7.565 7.565 7.565 99.27 114.80 114.80
Fractional coordinates of all 9 atoms:
1 Ba 0.500 0.750 0.250
2 Ba 0.500 0.250 0.750
3 Sr 0.000 0.694 0.694
4 Sr 0.000 0.306 0.306
5 Li 0.000 0.000 0.000
6 Bi 0.000 0.758 0.242
7 Bi 0.516 0.758 0.758
8 Bi 0.000 0.242 0.758
9 Bi 0.484 0.242 0.242

Summary:
Formation energy from the elements = -0.647 eV per atom
Theoretical density = 6.6 g/cm³

=====

Record 6
A relaxed BaSrLi2Bi2 crystal, computed with GGA-PBE.

Lattice parameters (Å, degrees): 5.002 5.002 8.844 90.00 90.00 120.00
Fractional coordinates of all 6 atoms:
1 Ba 0.000 0.000 0.000
2 Sr 0.000 0.000 0.500
3 Li 0.333 0.667 0.714
4 Li 0.667 0.333 0.286
5 Bi 0.333 0.667 0.265
6 Bi 0.667 0.333 0.735

Summary:
Formation energy from the elements = -0.829 eV per atom
Theoretical density = 5.7 g/cm³

=====

Record 7
A relaxed Ba2SrLi3Bi4 crystal, computed with GGA-PBE.

Lattice parameters (Å, degrees): 5.032 5.032 12.855 90.00 90.00 90.00
Fractional coordinates of all 10 atoms:
1 Ba 0.500 0.000 0.225
2 Ba 0.000 0.500 0.775
3 Sr 0.500 0.500 0.500
4 Li 0.000 0.000 0.500
5 Li 0.500 0.000 0.878
6 Li 0.000 0.500 0.122
7 Bi 0.500 0.500 0.000
8 Bi 0.000 0.000 0.000
9 Bi 0.500 0.000 0.660
10 Bi 0.000 0.500 0.340

Summary:
Formation energy from the elements = -0.743 eV per atom
Theoretical density = 6.2 g/cm³

=====

Record 8
A relaxed Ba2Li3TbBi4 crystal, computed with GGA-PBE.

Lattice parameters (Å, degrees): 5.065 5.065 12.224 90.00 90.00 90.00
Fractional coordinates of all 10 atoms:
1 Ba 0.500 0.000 0.222
2 Ba 0.000 0.500 0.778
3 Li 0.000 0.000 0.500
4 Li 0.500 0.000 0.882
5 Li 0.000 0.500 0.118
6 Tb 0.500 0.500 0.500
7 Bi 0.500 0.500 0.000
8 Bi 0.000 0.000 0.000
9 Bi 0.500 0.000 0.646
10 Bi 0.000 0.500 0.354

Summary:
Formation energy from the elements = -0.719 eV per atom
Theoretical density = 6.8 g/cm³

=====

Record 9
A relaxed BaLiBi2Te4 crystal, computed with GGA-PBE.

Lattice parameters (Å, degrees): 4.880 7.768 15.429 90.00 90.00 108.31
Fractional coordinates of all 16 atoms:
1 Ba 0.126 0.251 0.750
2 Ba 0.874 0.749 0.250
3 Li 0.863 0.726 0.750
4 Li 0.137 0.274 0.250
5 Bi 0.372 0.744 0.556
6 Bi 0.628 0.256 0.056
7 Bi 0.628 0.256 0.444
8 Bi 0.372 0.744 0.944
9 Te 0.264 0.529 0.114
10 Te 0.736 0.471 0.614
11 Te 0.736 0.471 0.886
12 Te 0.264 0.529 0.386
13 Te 0.000 0.000 0.500
14 Te 0.000 0.000 0.000
15 Te 0.453 0.905 0.750
16 Te 0.547 0.095 0.250

Summary:
Energy relative to the elements, uncorrected = -5.5 eV/f.u.
Theoretical density = 6.4 g/cm³

=====

Record 10
A relaxed Ba2Li3ThBi4 crystal, computed with GGA-PBE.

Lattice parameters (Å, degrees): 5.024 5.024 12.632 90.00 90.00 90.00
Last column: magnetic moment on the atom in μB.
Fractional coordinates of all 10 atoms:
1 Ba 0.500 0.000 0.220  0.05
2 Ba 0.000 0.500 0.780  0.05
3 Li 0.000 0.000 0.500  0.02
4 Li 0.500 0.000 0.885  0.01
5 Li 0.000 0.500 0.115  0.01
6 Th 0.500 0.500 0.500  0.45
7 Bi 0.500 0.500 0.000  0.00
8 Bi 0.000 0.000 0.000  0.00
9 Bi 0.500 0.000 0.657  -0.02
10 Bi 0.000 0.500 0.343  -0.02

Summary:
Formation energy from the elements = -0.596 eV per atom
Theoretical density = 7.1 g/cm³

=====

Record 11
A relaxed Ba2Li3TlBi4 crystal, computed with GGA-PBE.

Lattice parameters (Å, degrees): 5.062 5.062 12.102 90.00 90.00 90.00
Fractional coordinates of all 10 atoms:
1 Ba 0.500 0.000 0.236
2 Ba 0.000 0.500 0.764
3 Li 0.000 0.000 0.500
4 Li 0.500 0.000 0.880
5 Li 0.000 0.500 0.120
6 Tl 0.500 0.500 0.500
7 Bi 0.500 0.500 0.000
8 Bi 0.000 0.000 0.000
9 Bi 0.500 0.000 0.647
10 Bi 0.000 0.500 0.353

Summary:
Formation energy from the elements = -0.603 eV per atom
Theoretical density = 7.2 g/cm³

=====

Record 12
A relaxed BaLiTlBi2 crystal, computed with GGA-PBE.

Lattice parameters (Å, degrees): 4.900 4.900 7.905 108.05 108.05 90.00
Fractional coordinates of all 5 atoms:
1 Ba 0.000 0.000 0.000
2 Li 0.250 0.750 0.500
3 Tl 0.750 0.250 0.500
4 Bi 0.614 0.614 0.229
5 Bi 0.386 0.386 0.771

Summary:
Formation energy from the elements = -0.503 eV per atom
Theoretical density = 7.5 g/cm³

=====

| no. | total magnetization (Bohr magnetons per cell) |
| --- | --- |
| 1 | 0.000 |
| 2 | 0.000 |
| 3 | 0.000 |
| 4 | 1.698 |
| 5 | 0.000 |
| 6 | 0.000 |
| 7 | 0.000 |
| 8 | 0.100 |
| 9 | 0.000 |
| 10 | 1.545 |
| 11 | 0.000 |
| 12 | 0.000 |